No. 1
The following is a DFT calculation (GGA-PBE) of BeNbReGe after structural relaxation.

Final energy (eV/atom): -7.58
Crystal system: cubic
Symmetry: F-43m (216)
ΔE to the lowest computed polymorph (eV per atom): 0.053

Cell and atoms, written as CIF:
```
data_BeNbReGe
_chemical_formula_sum 'Be1 Nb1 Re1 Ge1'
_symmetry_space_group_name_H-M 'P 1'
_symmetry_Int_Tables_number 1
_symmetry_space_group_name_Hall 'P 1'
_cell_length_a 4.296
_cell_length_b 4.296
_cell_length_c 4.296
_cell_angle_alpha 60.00
_cell_angle_beta 60.00
_cell_angle_gamma 60.00
loop_
_atom_site_label
_atom_site_type_symbol
_atom_site_fract_x
_atom_site_fract_y
_atom_site_fract_z
_atom_site_occupancy
Be1 Be 0.750 0.750 0.750 1
Ge1 Ge 0.250 0.250 0.250 1
Nb1 Nb 0.500 0.500 0.500 1
Re1 Re 0.000 0.000 0.000 1
```

No. 2
The following is a DFT calculation (GGA-PBE) of BeNbReGe after structural relaxation.

Final energy (eV/atom): -7.63
Crystal system: cubic
Symmetry: F-43m (216)
ΔE to the lowest computed polymorph (eV per atom): 0.000

Cell and atoms, written as CIF:
```
data_BeNbReGe
_chemical_formula_sum 'Be1 Nb1 Re1 Ge1'
_symmetry_space_group_name_H-M 'P 1'
_symmetry_Int_Tables_number 1
_symmetry_space_group_name_Hall 'P 1'
_cell_length_a 4.330
_cell_length_b 4.330
_cell_length_c 4.330
_cell_angle_alpha 60.00
_cell_angle_beta 60.00
_cell_angle_gamma 60.00
loop_
_atom_site_label
_atom_site_type_symbol
_atom_site_fract_x
_atom_site_fract_y
_atom_site_fract_z
_atom_site_occupancy
Be1 Be 0.750 0.750 0.750 1
Ge1 Ge 0.000 0.000 0.000 1
Nb1 Nb 0.500 0.500 0.500 1
Re1 Re 0.250 0.250 0.250 1
```

No. 3
The following is a DFT calculation (GGA-PBE) of BeNbTcGe after structural relaxation.

Final energy (eV/atom): -7.26
Crystal system: cubic
Symmetry: F-43m (216)
ΔE to the lowest computed polymorph (eV per atom): 0.000

Cell and atoms, written as CIF:
```
data_BeNbTcGe
_chemical_formula_sum 'Be1 Nb1 Tc1 Ge1'
_symmetry_space_group_name_H-M 'P 1'
_symmetry_Int_Tables_number 1
_symmetry_space_group_name_Hall 'P 1'
_cell_length_a 4.309
_cell_length_b 4.309
_cell_length_c 4.309
_cell_angle_alpha 60.00
_cell_angle_beta 60.00
_cell_angle_gamma 60.00
loop_
_atom_site_label
_atom_site_type_symbol
_atom_site_fract_x
_atom_site_fract_y
_atom_site_fract_z
_atom_site_occupancy
Be1 Be 0.750 0.750 0.750 1
Ge1 Ge 0.000 0.000 0.000 1
Nb1 Nb 0.500 0.500 0.500 1
Tc1 Tc 0.250 0.250 0.250 1
```

No. 4
The following is a DFT calculation (GGA-PBE) of BeNbTcGe after structural relaxation.

Final energy (eV/atom): -7.20
Crystal system: cubic
Symmetry: F-43m (216)
ΔE to the lowest computed polymorph (eV per atom): 0.060

Cell and atoms, written as CIF:
```
data_BeNbTcGe
_chemical_formula_sum 'Be1 Nb1 Tc1 Ge1'
_symmetry_space_group_name_H-M 'P 1'
_symmetry_Int_Tables_number 1
_symmetry_space_group_name_Hall 'P 1'
_cell_length_a 4.292
_cell_length_b 4.292
_cell_length_c 4.292
_cell_angle_alpha 60.00
_cell_angle_beta 60.00
_cell_angle_gamma 60.00
loop_
_atom_site_label
_atom_site_type_symbol
_atom_site_fract_x
_atom_site_fract_y
_atom_site_fract_z
_atom_site_occupancy
Be1 Be 0.750 0.750 0.750 1
Ge1 Ge 0.250 0.250 0.250 1
Nb1 Nb 0.500 0.500 0.500 1
Tc1 Tc 0.000 0.000 0.000 1
```

No. 5
The following is a DFT calculation (GGA-PBE) of PrNdBe2Ge2 after structural relaxation.

Final energy (eV/atom): -5.01
Crystal system: trigonal
Symmetry: P-3m1 (164)

Cell and atoms, written as CIF:
```
data_PrNdBe2Ge2
_chemical_formula_sum 'Pr1 Nd1 Be2 Ge2'
_symmetry_space_group_name_H-M 'P 1'
_symmetry_Int_Tables_number 1
_symmetry_space_group_name_Hall 'P 1'
_cell_length_a 4.009
_cell_length_b 4.009
_cell_length_c 8.558
_cell_angle_alpha 90.00
_cell_angle_beta 90.00
_cell_angle_gamma 120.00
loop_
_atom_site_label
_atom_site_type_symbol
_atom_site_fract_x
_atom_site_fract_y
_atom_site_fract_z
_atom_site_occupancy
Be1 Be 0.667 0.333 0.251 1
Be2 Be 0.333 0.667 0.749 1
Ge1 Ge 0.333 0.667 0.252 1
Ge2 Ge 0.667 0.333 0.748 1
Nd1 Nd 0.000 0.000 0.500 1
Pr1 Pr 0.000 0.000 0.000 1
```

No. 6
The following is a DFT calculation (GGA-PBE) of NdSmBe2Ge2 after structural relaxation.

Final energy (eV/atom): -5.02
Crystal system: trigonal
Symmetry: P-3m1 (164)

Cell and atoms, written as CIF:
```
data_NdSmBe2Ge2
_chemical_formula_sum 'Nd1 Sm1 Be2 Ge2'
_symmetry_space_group_name_H-M 'P 1'
_symmetry_Int_Tables_number 1
_symmetry_space_group_name_Hall 'P 1'
_cell_length_a 3.984
_cell_length_b 3.984
_cell_length_c 8.436
_cell_angle_alpha 90.00
_cell_angle_beta 90.00
_cell_angle_gamma 120.00
loop_
_atom_site_label
_atom_site_type_symbol
_atom_site_fract_x
_atom_site_fract_y
_atom_site_fract_z
_atom_site_occupancy
Be1 Be 0.667 0.333 0.248 1
Be2 Be 0.333 0.667 0.752 1
Ge1 Ge 0.333 0.667 0.247 1
Ge2 Ge 0.667 0.333 0.753 1
Nd1 Nd 0.000 0.000 0.500 1
Sm1 Sm 0.000 0.000 0.000 1
```

No. 7
The following is a DFT calculation (GGA-PBE) of TbNdBe2Ge2 after structural relaxation.

Final energy (eV/atom): -5.01
Crystal system: trigonal
Symmetry: P-3m1 (164)

Cell and atoms, written as CIF:
```
data_TbNdBe2Ge2
_chemical_formula_sum 'Tb1 Nd1 Be2 Ge2'
_symmetry_space_group_name_H-M 'P 1'
_symmetry_Int_Tables_number 1
_symmetry_space_group_name_Hall 'P 1'
_cell_length_a 3.964
_cell_length_b 3.964
_cell_length_c 8.336
_cell_angle_alpha 90.00
_cell_angle_beta 90.00
_cell_angle_gamma 120.00
loop_
_atom_site_label
_atom_site_type_symbol
_atom_site_fract_x
_atom_site_fract_y
_atom_site_fract_z
_atom_site_occupancy
Be1 Be 0.667 0.333 0.244 1
Be2 Be 0.333 0.667 0.756 1
Ge1 Ge 0.333 0.667 0.242 1
Ge2 Ge 0.667 0.333 0.758 1
Nd1 Nd 0.000 0.000 0.500 1
Tb1 Tb 0.000 0.000 0.000 1
```

No. 8
The following is a DFT calculation (GGA-PBE) of NdTmBe2Ge2 after structural relaxation.

Final energy (eV/atom): -4.97
Crystal system: trigonal
Symmetry: P-3m1 (164)

Cell and atoms, written as CIF:
```
data_NdTmBe2Ge2
_chemical_formula_sum 'Nd1 Tm1 Be2 Ge2'
_symmetry_space_group_name_H-M 'P 1'
_symmetry_Int_Tables_number 1
_symmetry_space_group_name_Hall 'P 1'
_cell_length_a 3.940
_cell_length_b 3.940
_cell_length_c 8.242
_cell_angle_alpha 90.00
_cell_angle_beta 90.00
_cell_angle_gamma 120.00
loop_
_atom_site_label
_atom_site_type_symbol
_atom_site_fract_x
_atom_site_fract_y
_atom_site_fract_z
_atom_site_occupancy
Be1 Be 0.667 0.333 0.241 1
Be2 Be 0.333 0.667 0.759 1
Ge1 Ge 0.333 0.667 0.238 1
Ge2 Ge 0.667 0.333 0.762 1
Nd1 Nd 0.000 0.000 0.500 1
Tm1 Tm 0.000 0.000 0.000 1
```

Number 1: total magnetic moment 0.02 μB per atom. Number 2: total magnetic moment 0.00 μB per atom. Number 3: total magnetic moment 0.00 μB per atom. Number 4: total magnetic moment 0.01 μB per atom. Number 5: total magnetic moment 0.00 μB per atom. Number 6: total magnetic moment 0.00 μB per atom. Number 7: total magnetic moment 0.00 μB per atom. Number 8: total magnetic moment 0.00 μB per atom.